Here is a geometry-optimized BaLaCuAg structure from Alexandria. Energies are from GGA-PBE.

Calculated values
Calculated volume ... 29.35 Å³ per atom
Total DFT energy (no corrections) ... -13.943 eV/f.u.
Formation energy ... -36.4 meV/atom

Geometry as CIF:
```
data_BaLaCuAg
_chemical_formula_sum 'Ba4 La4 Cu4 Ag4'
_symmetry_space_group_name_H-M 'F -4 3 m'
_symmetry_Int_Tables_number 216
_symmetry_space_group_name_Hall 'F -4 2 3'
_cell_length_a 7.773
_cell_length_b 7.773
_cell_length_c 7.773
_cell_angle_alpha 90.00
_cell_angle_beta 90.00
_cell_angle_gamma 90.00
loop_
_atom_site_label
_atom_site_type_symbol
_atom_site_fract_x
_atom_site_fract_y
_atom_site_fract_z
Ba1 Ba 0.000 0.000 0.000
La1 La 0.000 0.000 0.500
Cu1 Cu 0.250 0.250 0.250
Ag1 Ag 0.250 0.250 0.750
```